1.
VASP calculation (GGA-PBE) on an optimized crystal structure of BaCu2W.

Cell lengths 3.1951, 3.1951, 7.6906 Å; angles 90.00, 90.00, 90.00 degrees
Closest atoms and distances in Å follow each position.
Space group P4/mmm (No. 123)
One atom of each set of equivalent atoms:
1 Ba 0.0000 0.0000 0.0000 (multiplicity 1)  4 Ba 3.20, 8 Cu 3.37
2 Cu 0.5000 0.5000 0.3247 (multiplicity 2)  4 W 2.63, 1 Cu 2.70
3 W 0.0000 0.0000 0.5000 (multiplicity 1)  8 Cu 2.63

## Properties
Final energy = -5.14 eV/atom
Formation enthalpy at 0 K = 0.622 eV per atom
Excess energy over the best structure of this formula in the dataset = 61 meV per atom

2.
VASP calculation (GGA-PBE) on an optimized crystal structure of BaCu2W.

Cell lengths 2.9347, 5.1277, 10.2522 Å; angles 90.00, 90.00, 90.00 degrees
Closest atoms and distances in Å follow each position.
Space group Imm2 (No. 44)
One atom of each set of equivalent atoms:
1 Ba 0.0000 0.0000 0.0000 (multiplicity 2)  2 Ba 2.93, 6 Cu 2.96-3.19
2 Cu 0.0000 0.0000 0.4835 (multiplicity 2)  2 Cu 2.58, 2 W 2.74
3 Cu 0.0000 0.5000 0.7763 (multiplicity 2)  2 Cu 2.58
4 W 0.0000 0.5000 0.2092 (multiplicity 2)  6 Cu 2.74-3.03, 2 W 2.93

## Properties
Final energy = -4.78 eV/atom
Formation enthalpy at 0 K = 0.983 eV per atom
Excess energy over the best structure of this formula in the dataset = 422 meV per atom

3.
VASP calculation (GGA-PBE) on an optimized crystal structure of BaCu2W.

Cell lengths 6.8622, 6.8622, 6.8622 Å; angles 90.00, 90.00, 90.00 degrees
Closest atoms and distances in Å follow each position.
Space group F-43m (No. 216)
One atom of each set of equivalent atoms:
1 Ba 0.0000 0.0000 0.0000 (multiplicity 4)  4 W 2.97, 4 Cu 2.97
2 Cu 0.0000 0.0000 0.5000 (multiplicity 4)  4 W 2.97, 4 Cu 2.97
3 Cu 0.2500 0.2500 0.7500 (multiplicity 4)  4 Ba 2.97, 4 Cu 2.97
4 W 0.2500 0.2500 0.2500 (multiplicity 4)  4 Ba 2.97, 4 Cu 2.97

## Properties
Final energy = -4.40 eV/atom
Formation enthalpy at 0 K = 1.368 eV per atom
Excess energy over the best structure of this formula in the dataset = 807 meV per atom

4.
VASP calculation (GGA-PBE) on an optimized crystal structure of BaCuW2.

Cell lengths 5.5151, 11.0856, 3.1493 Å; angles 90.00, 122.54, 90.00 degrees
Closest atoms and distances in Å follow each position.
Space group C2/m (No. 12)
One atom of each set of equivalent atoms:
1 Ba 0.0000 0.0000 0.0000 (multiplicity 2)  4 Cu 2.76-2.86
2 Cu 0.0000 0.5000 0.0000 (multiplicity 2)  4 Ba 2.76-2.86
3 W 0.2500 0.2500 0.5000 (multiplicity 4)  4 W 2.76-2.86

## Properties
Final energy = -6.67 eV/atom
Formation enthalpy at 0 K = 1.309 eV per atom
Excess energy over the best structure of this formula in the dataset = 632 meV per atom

5.
VASP calculation (GGA-PBE) on an optimized crystal structure of BaCuW2.

Cell lengths 2.8179, 4.9720, 11.4821 Å; angles 90.00, 90.00, 90.00 degrees
Closest atoms and distances in Å follow each position.
Space group Immm (No. 71)
One atom of each set of equivalent atoms:
1 Ba 0.0000 0.0000 0.0000 (multiplicity 2)  2 Ba 2.82, 4 Cu 2.86
2 Cu 0.0000 0.0000 0.5000 (multiplicity 2)  4 W 2.80, 2 Cu 2.82, 4 Ba 2.86
3 W 0.0000 0.5000 0.2110 (multiplicity 4)  2 Cu 2.80, 6 W 2.82-2.99

## Properties
Final energy = -6.95 eV/atom
Formation enthalpy at 0 K = 1.031 eV per atom
Excess energy over the best structure of this formula in the dataset = 354 meV per atom

6.
VASP calculation (GGA-PBE) on an optimized crystal structure of BaCuW3.

Cell lengths 4.9740, 4.9740, 4.9740 Å; angles 90.00, 90.00, 90.00 degrees
Closest atoms and distances in Å follow each position.
Space group Pm-3m (No. 221)
One atom of each set of equivalent atoms:
1 Ba 0.0000 0.0000 0.0000 (multiplicity 1)  6 W 2.49
2 Cu 0.5000 0.5000 0.5000 (multiplicity 1)  12 W 3.52
3 W 0.0000 0.0000 0.5000 (multiplicity 3)  2 Ba 2.49

## Properties
Final energy = -4.99 eV/atom
Formation enthalpy at 0 K = 3.986 eV per atom
Excess energy over the best structure of this formula in the dataset = 1885 meV per atom

7.
VASP calculation (GGA-PBE) on an optimized crystal structure of Ba2CuW.

Cell lengths 3.4731, 3.4731, 31.6981 Å; angles 90.00, 90.00, 120.00 degrees
Closest atoms and distances in Å follow each position.
Space group R-3m (No. 166, hexagonal axes)
One atom of each set of equivalent atoms:
1 Ba 0.0000 0.0000 0.2487 (multiplicity 6)  3 Cu 3.28, 3 W 3.35, 6 Ba 3.47
2 Cu 0.0000 0.0000 0.5000 (multiplicity 3)  6 Ba 3.28, 6 Cu 3.47
3 W 0.0000 0.0000 0.0000 (multiplicity 3)  6 Ba 3.35, 6 W 3.47

## Properties
Final energy = -3.96 eV/atom
Formation enthalpy at 0 K = 1.268 eV per atom
Excess energy over the best structure of this formula in the dataset = 452 meV per atom

8.
VASP calculation (GGA-PBE) on an optimized crystal structure of Ba2CuW.

Cell lengths 8.4977, 3.5794, 8.7558 Å; angles 90.00, 99.22, 90.00 degrees
Closest atoms and distances in Å follow each position.
Space group C2/m (No. 12)
One atom of each set of equivalent atoms:
1 Ba 0.2475 0.0000 0.2489 (multiplicity 4)  3 Cu 3.28-3.34, 3 W 3.29-3.30, 2 Ba 3.58
2 Cu 0.0000 0.0000 0.5000 (multiplicity 2)  6 Ba 3.28-3.34, 2 Cu 3.58
3 W 0.0000 0.5000 0.0000 (multiplicity 2)  6 Ba 3.29-3.30, 2 W 3.58

## Properties
Final energy = -3.96 eV/atom
Formation enthalpy at 0 K = 1.268 eV per atom
Excess energy over the best structure of this formula in the dataset = 452 meV per atom

9.
VASP calculation (GGA-PBE) on an optimized crystal structure of BaCuW2.

Cell lengths 8.1378, 3.9836, 6.4647 Å; angles 90.00, 106.91, 90.00 degrees
Closest atoms and distances in Å follow each position.
Space group C2/m (No. 12)
One atom of each set of equivalent atoms:
1 Ba 0.0000 0.0000 0.0000 (multiplicity 2)  8 W 3.51-3.69, 4 Cu 3.80
2 Cu 0.0000 0.5000 0.5000 (multiplicity 2)  6 W 2.55-2.64
3 W 0.2032 0.0000 0.5899 (multiplicity 4)  2 W 2.53, 3 Cu 2.55-2.64

## Properties
Final energy = -7.07 eV/atom
Formation enthalpy at 0 K = 0.912 eV per atom
Excess energy over the best structure of this formula in the dataset = 235 meV per atom

10.
VASP calculation (GGA-PBE) on an optimized crystal structure of Ba4CuW.

Cell lengths 9.9543, 9.9543, 9.9543 Å; angles 90.00, 90.00, 90.00 degrees
Closest atoms and distances in Å follow each position.
Space group F-43m (No. 216)
One atom of each set of equivalent atoms:
1 Ba 0.1252 0.1252 0.1252 (multiplicity 16)  6 Ba 3.51-3.53
2 Cu 0.2500 0.2500 0.7500 (multiplicity 4)  12 Ba 4.13, 4 W 4.31
3 W 0.0000 0.0000 0.5000 (multiplicity 4)  12 Ba 4.13, 4 Cu 4.31

## Properties
Final energy = -2.66 eV/atom
Formation enthalpy at 0 K = 1.464 eV per atom

11.
VASP calculation (GGA-PBE) on an optimized crystal structure of BaCuW2.

Cell lengths 2.9204, 2.9204, 32.1383 Å; angles 90.00, 90.00, 120.00 degrees
Closest atoms and distances in Å follow each position.
Space group R-3m (No. 166, hexagonal axes)
One atom of each set of equivalent atoms:
1 Ba 0.0000 0.0000 0.0000 (multiplicity 3)  6 Ba 2.92
2 Cu 0.0000 0.0000 0.5000 (multiplicity 3)  6 W 2.74, 6 Cu 2.92
3 W 0.0000 0.0000 0.2340 (multiplicity 6)  3 Cu 2.74, 6 W 2.92

## Properties
Final energy = -6.67 eV/atom
Formation enthalpy at 0 K = 1.307 eV per atom
Excess energy over the best structure of this formula in the dataset = 630 meV per atom

12.
VASP calculation (GGA-PBE) on an optimized crystal structure of BaCu2W.

Cell lengths 8.4245, 3.0562, 6.7343 Å; angles 90.00, 97.96, 90.00 degrees
Closest atoms and distances in Å follow each position.
Space group Cm (No. 8)
One atom of each set of equivalent atoms:
1 Ba 0.0000 0.0000 0.0000 (multiplicity 2)  2 Ba 3.06, 3 Cu 3.19-3.34, 1 W 3.36
2 Cu 0.2679 0.5000 0.3368 (multiplicity 2)  3 Cu 2.53-2.70, 2 W 2.54
3 Cu 0.4898 0.0000 0.4937 (multiplicity 2)  3 W 2.51-2.57, 3 Cu 2.53-2.70
4 W 0.2259 0.0000 0.6262 (multiplicity 2)  5 Cu 2.51-2.57

## Properties
Final energy = -4.97 eV/atom
Formation enthalpy at 0 K = 0.802 eV per atom
Excess energy over the best structure of this formula in the dataset = 240 meV per atom